[1]
A plane-wave DFT calculation with PBE was carried out for crystalline LaTa2Mo at its relaxed geometry.

Cell lengths 5.6298, 9.9292, 2.9751 Å; angles 90.00, 107.24, 90.00 degrees
Space group C2/m (No. 12)
Unique sites:
La: 0.0000 0.0000 0.0000 (multiplicity 2)
Ta: 0.2500 0.2500 0.5000 (multiplicity 4)
Mo: 0.0000 0.5000 0.0000 (multiplicity 2)

Calculated values
formation energy from the elements = 549 meV/atom
DFT total energy = -9.32 eV per atom
volume = 19.854 Å³ per atom



[2]
A plane-wave DFT calculation with PBE was carried out for crystalline ZrFe2Ni2 at its relaxed geometry.

Cell lengths 3.6622, 3.6622, 10.3760 Å; angles 90.00, 90.00, 90.00 degrees
Space group I4/mmm (No. 139)
Unique sites:
Zr: 0.0000 0.0000 0.0000 (multiplicity 2)
Fe: 0.0000 0.0000 0.3927 (multiplicity 4)
Ni: 0.0000 0.5000 0.2500 (multiplicity 4)

Calculated values
formation energy from the elements = -32 meV/atom
DFT total energy = -7.44 eV per atom
volume = 13.916 Å³ per atom



[3]
A plane-wave DFT calculation with PBE was carried out for crystalline TlInGa2Br8 at its relaxed geometry.

Cell lengths 10.7139, 10.7139, 8.5265 Å; angles 90.00, 90.00, 90.00 degrees
Space group I-4m2 (No. 119)
Unique sites:
Tl: 0.0000 0.0000 0.0000 (multiplicity 2)
In: 0.0000 0.5000 0.2500 (multiplicity 2)
Ga: 0.0000 0.0000 0.5000 (multiplicity 2)
Ga: 0.0000 0.5000 0.7500 (multiplicity 2)
Br: 0.0000 0.1775 0.3337 (multiplicity 8)
Br: 0.0000 0.3241 0.9182 (multiplicity 8)

Calculated values
DFT total energy = -2.88 eV per atom
volume = 40.780 Å³ per atom
E_form (uncorrected) = -0.83 eV/atom



[4]
A plane-wave DFT calculation with PBE was carried out for crystalline Ac3Al2SiGe6 at its relaxed geometry.

Cell lengths 6.3702, 6.3702, 8.6337 Å; angles 90.00, 90.00, 120.00 degrees
Space group P-3m1 (No. 164)
Unique sites:
Ac: 0.0000 0.0000 0.0000 (multiplicity 1)
Ac: 0.3333 0.6667 0.6362 (multiplicity 2)
Al: 0.3333 0.6667 0.0336 (multiplicity 2)
Si: 0.0000 0.0000 0.5000 (multiplicity 1)
Ge: 0.1929 0.3857 0.2902 (multiplicity 6)

Calculated values
DFT total energy = -4.69 eV per atom
volume = 25.284 Å³ per atom
E_form (uncorrected) = -0.28 eV/atom



[5]
A plane-wave DFT calculation with PBE was carried out for crystalline Ga2ReNi2 at its relaxed geometry.

Cell lengths 6.9699, 6.9699, 2.6700 Å; angles 90.00, 90.00, 90.00 degrees
Space group P4/mbm (No. 127)
Unique sites:
Ga: 0.1405 0.3595 0.0000 (multiplicity 4)
Re: 0.0000 0.0000 0.0000 (multiplicity 2)
Ni: 0.1581 0.6581 0.5000 (multiplicity 4)

Calculated values
formation energy from the elements = -86 meV/atom
DFT total energy = -6.10 eV per atom
volume = 12.971 Å³ per atom



no.,N(E_F) (states/eV/f.u.)
1,5.220
2,5.506
3,0.000
4,6.263
5,4.823